TlCuPb2 | GGA-PBEsol | optimized geometry

Summary:
final energy = -3.4444 eV per atom
ΔE_f = 0.2960 eV per atom

a = 4.758 Å, b = 4.758 Å, c = 4.353 Å
α = 90.00°, β = 90.00°, γ = 90.00°
Space group P4/mmm (No. 123)
Asymmetric unit:
Tl: 0.000 0.000 0.000
Cu: 0.500 0.500 0.000
Pb: 0.000 0.500 0.500

In2OsAu | GGA-PBEsol | optimized geometry

Summary:
final energy = -5.2928 eV per atom
ΔE_f = 0.2336 eV per atom

a = 2.924 Å, b = 4.457 Å, c = 12.027 Å
α = 90.00°, β = 90.00°, γ = 90.00°
Space group Imm2 (No. 44)
Asymmetric unit:
In: 0.000 0.000 0.000
In: 0.000 0.500 0.210
Os: 0.000 0.500 0.696
Au: 0.000 0.000 0.394

SrBePt4 | GGA-PBEsol | optimized geometry

Summary:
final energy = -5.8556 eV per atom
ΔE_f = -0.2398 eV per atom

a = 7.504 Å, b = 7.504 Å, c = 7.504 Å
α = 90.00°, β = 90.00°, γ = 90.00°
Space group F-43m (No. 216)
Asymmetric unit:
Sr: 0.000 0.000 0.000
Be: 0.250 0.250 0.250
Pt: 0.124 0.124 0.624

| no. | N(E_F) (states/eV/cell) |
| --- | --- |
| 1 | 1.7 |
| 2 | 3.9 |
| 3 | 23.4 |